(1)
A relaxed structure of AgBi2I. Source: Alexandria via LeMat-Bulk, functional PBE.

Output
The value obtained for the formation energy (no corrections) is 351.2 meV/atom. As for the excess energy over the best structure of this formula in the dataset: 331 meV per atom.

Cell: 7.7587 7.7587 7.7587 Å, 90.00 90.00 90.00°
Space group Fm-3m (No. 225)
Asymmetric unit:
Ag  0.0000  0.0000  0.0000
Bi  0.2500  0.2500  0.2500
I  0.0000  0.0000  0.5000

***

(2)
A relaxed structure of LiIn3Ag3. Source: Alexandria via LeMat-Bulk, functional PBE.

Output
For the calculated formation energy, the calculation gives -84 meV/atom. As for the excess energy over the best structure of this formula in the dataset: 0 meV per atom.

Cell: 7.9438 7.9438 17.0436 Å, 90.00 90.00 120.00°
Space group R-3 (No. 148, hexagonal axes)
Asymmetric unit:
Li  0.0000  0.0000  0.1663
In  0.0030  0.3427  0.3807
Ag  0.0012  0.3208  0.5458

***

(3)
A relaxed structure of NaUSe2. Source: Alexandria via LeMat-Bulk, functional PBE.

Output
The value obtained for the formation energy (no corrections) is -1142.0 meV/atom.

Cell: 5.8272 5.8272 11.9914 Å, 90.00 90.00 90.00°
Space group I4_1/amd (No. 141, origin choice 2)
Asymmetric unit:
Na  0.0000  0.2500  0.3750
U  0.0000  0.2500  0.8750
Se  0.0000  0.2500  0.1155

***

(4)
A relaxed structure of SmDy4HoTm2. Source: Alexandria via LeMat-Bulk, functional PBE.

Output
For the calculated formation energy, the calculation gives 444 meV/atom.

Cell: 13.5125 13.2344 6.7528 Å, 90.00 119.98 90.00°
Space group C2/c (No. 15)
Asymmetric unit:
Sm  0.2500  0.2500  0.0000
Dy  0.0000  0.2487  0.0017
Dy  0.2490  0.0029  0.4971
Ho  0.0000  0.5000  0.0000
Tm  0.0000  0.0000  0.0000
Tm  0.2500  0.2500  0.5000

***

no.,N(E_F) (states/eV/atom)
1,0.74
2,0.37
3,1.99
4,2.10